Below is a relaxed Fe4Ni3Rh crystal, with properties calculated at the PBE level.

Summary:
Total magnetic moment (μB/f.u.): 13.5
V (Å³/cell): 190.6
D(E_F) (states/eV per cell): 15.7
Crystal system: orthorhombic
Total DFT energy (no corrections) (eV for the cell shown): -117.607
Energy of formation from the pure elements (kJ/mol of formula units): -25

Unit cell a=8.3655 b=5.1689 c=4.4079 alpha=90.00 beta=90.00 gamma=90.00
Space group Pmma (No. 51)
Unique sites:
Fe  0.0000  0.2429  0.0000 [4 per cell]
Fe  0.2500  0.2436  0.3446 [4 per cell]
Ni  0.0000  0.0000  0.5000 [2 per cell]
Ni  0.2500  0.0000  0.8428 [2 per cell]
Ni  0.2500  0.5000  0.8570 [2 per cell]
Rh  0.0000  0.5000  0.5000 [2 per cell]

Below is a relaxed PmGdZnCu crystal, with properties calculated at the PBE level.

Summary:
Total magnetic moment (μB/f.u.): 7.3
V (Å³/cell): 369.3
D(E_F) (states/eV per cell): 14.2
Crystal system: cubic
Total DFT energy (no corrections) (eV for the cell shown): -100.793
Energy of formation from the pure elements (kJ/mol of formula units): -96

Unit cell a=7.1744 b=7.1744 c=7.1744 alpha=90.00 beta=90.00 gamma=90.00
Space group F-43m (No. 216)
Unique sites:
Pm  0.0000  0.0000  0.0000 [4 per cell]
Gd  0.0000  0.0000  0.5000 [4 per cell]
Zn  0.2500  0.2500  0.7500 [4 per cell]
Cu  0.2500  0.2500  0.2500 [4 per cell]

Below is a relaxed TiPdIN2 crystal, with properties calculated at the PBE level.

Summary:
Total magnetic moment (μB/f.u.): 0.0
V (Å³/cell): 93.7
D(E_F) (states/eV per cell): 4.0
Crystal system: tetragonal
Total DFT energy (no corrections) (eV for the cell shown): -29.155

Unit cell a=3.8767 b=3.8767 c=6.2354 alpha=90.00 beta=90.00 gamma=90.00
Space group P4/mmm (No. 123)
Unique sites:
Ti  0.0000  0.0000  0.0000 [1 per cell]
Pd  0.5000  0.5000  0.5000 [1 per cell]
I  0.0000  0.0000  0.5000 [1 per cell]
N  0.0000  0.5000  0.0000 [2 per cell]

Below is a relaxed Dy2USb3 crystal, with properties calculated at the PBE level.

Summary:
Total magnetic moment (μB/f.u.): 2.6
V (Å³/cell): 713.3
D(E_F) (states/eV per cell): 24.6
Crystal system: orthorhombic
Total DFT energy (no corrections) (eV for the cell shown): -150.865

Unit cell a=6.1980 b=6.2104 c=18.5312 alpha=90.00 beta=90.00 gamma=90.00
Space group Fmmm (No. 69)
Unique sites:
Dy  0.0000  0.0000  0.1672 [8 per cell]
U  0.0000  0.0000  0.5000 [4 per cell]
Sb  0.0000  0.0000  0.0000 [4 per cell]
Sb  0.0000  0.0000  0.3337 [8 per cell]

Below is a relaxed CuSi2P crystal, with properties calculated at the PBE level.

Summary:
Total magnetic moment (μB/f.u.): 0.0
V (Å³/cell): 55.8
D(E_F) (states/eV per cell): 0.7
Crystal system: tetragonal
Total DFT energy (no corrections) (eV for the cell shown): -18.675

Unit cell a=3.1226 b=3.1226 c=5.7268 alpha=90.00 beta=90.00 gamma=90.00
Space group P4/mmm (No. 123)
Unique sites:
Cu  0.0000  0.0000  0.0000 [1 per cell]
Si  0.5000  0.5000  0.2498 [2 per cell]
P  0.0000  0.0000  0.5000 [1 per cell]

Below is a relaxed Dy5CdHg4 crystal, with properties calculated at the PBE level.

Summary:
Total magnetic moment (μB/f.u.): 0.0
V (Å³/cell): 258.5
D(E_F) (states/eV per cell): 10.3
Crystal system: tetragonal
Total DFT energy (no corrections) (eV for the cell shown): -29.616
Energy of formation from the pure elements (kJ/mol of formula units): -433

Unit cell a=3.7215 b=3.7215 c=18.6680 alpha=90.00 beta=90.00 gamma=90.00
Space group P4/mmm (No. 123)
Unique sites:
Dy  0.0000  0.0000  0.0000 [1 per cell]
Dy  0.0000  0.0000  0.1994 [2 per cell]
Dy  0.0000  0.0000  0.3984 [2 per cell]
Cd  0.5000  0.5000  0.5000 [1 per cell]
Hg  0.5000  0.5000  0.0998 [2 per cell]
Hg  0.5000  0.5000  0.3007 [2 per cell]

Below is a relaxed La2RhN crystal, with properties calculated at the PBE level.

Summary:
Total magnetic moment (μB/f.u.): 0.0
V (Å³/cell): 381.7
D(E_F) (states/eV per cell): 0.0
Crystal system: tetragonal
Total DFT energy (no corrections) (eV for the cell shown): -115.233

Unit cell a=6.7971 b=6.7971 c=8.2611 alpha=90.00 beta=90.00 gamma=90.00
Space group I-42d (No. 122)
Unique sites:
La  0.1988  0.7500  0.1250 [8 per cell]
Rh  0.0000  0.0000  0.5000 [4 per cell]
N  0.0000  0.0000  0.0000 [4 per cell]

Below is a relaxed YSc2Be crystal, with properties calculated at the PBE level.

Summary:
Total magnetic moment (μB/f.u.): 0.2
V (Å³/cell): 280.3
D(E_F) (states/eV per cell): 19.0
Crystal system: trigonal
Total DFT energy (no corrections) (eV for the cell shown): -65.726
Energy of formation from the pure elements (kJ/mol of formula units): 91

Unit cell a=3.3696 b=3.3696 c=28.5022 alpha=90.00 beta=90.00 gamma=120.00
Space group R3m (No. 160, hexagonal axes)
Unique sites:
Y  0.0000  0.0000  0.0000 [3 per cell]
Sc  0.0000  0.0000  0.2325 [3 per cell]
Sc  0.0000  0.0000  0.4721 [3 per cell]
Be  0.0000  0.0000  0.7398 [3 per cell]

Below is a relaxed Tl7Hg4Bi crystal, with properties calculated at the PBE level.

Summary:
Total magnetic moment (μB/f.u.): 0.0
V (Å³/cell): 764.2
D(E_F) (states/eV per cell): 10.0
Crystal system: monoclinic
Total DFT energy (no corrections) (eV for the cell shown): -42.597
Energy of formation from the pure elements (kJ/mol of formula units): 34

Unit cell a=15.2486 b=6.1982 c=10.0687 alpha=90.00 beta=126.58 gamma=90.00
Space group C2/m (No. 12)
Unique sites:
Tl  0.0000  0.0000  0.0000 [2 per cell]
Tl  0.0030  0.5000  0.3364 [4 per cell]
Tl  0.2431  0.5000  0.0530 [4 per cell]
Tl  0.2486  0.0000  0.6013 [4 per cell]
Hg  0.0069  0.0000  0.6626 [4 per cell]
Hg  0.2351  0.5000  0.7157 [4 per cell]
Bi  0.0000  0.5000  0.0000 [2 per cell]

Below is a relaxed Pr2Ge4Pd3Pt crystal, with properties calculated at the PBE level.

Summary:
Total magnetic moment (μB/f.u.): 0.0
V (Å³/cell): 195.0
D(E_F) (states/eV per cell): 5.8
Crystal system: tetragonal
Total DFT energy (no corrections) (eV for the cell shown): -58.094
Energy of formation from the pure elements (kJ/mol of formula units): -815

Unit cell a=4.3775 b=4.3775 c=10.1745 alpha=90.00 beta=90.00 gamma=90.00
Space group P-4m2 (No. 115)
Unique sites:
Pr  0.0000  0.5000  0.2480 [2 per cell]
Ge  0.0000  0.0000  0.0000 [1 per cell]
Ge  0.0000  0.5000  0.6295 [2 per cell]
Ge  0.5000  0.5000  0.0000 [1 per cell]
Pd  0.0000  0.5000  0.8725 [2 per cell]
Pd  0.5000  0.5000  0.5000 [1 per cell]
Pt  0.0000  0.0000  0.5000 [1 per cell]

Below is a relaxed BeAlSi2 crystal, with properties calculated at the PBE level.

Summary:
Total magnetic moment (μB/f.u.): 0.0
V (Å³/cell): 107.0
D(E_F) (states/eV per cell): 2.4
Crystal system: orthorhombic
Total DFT energy (no corrections) (eV for the cell shown): -33.904

Unit cell a=3.7578 b=3.9817 c=7.1487 alpha=90.00 beta=90.00 gamma=90.00
Space group Cmm2 (No. 35)
Unique sites:
Be  0.0000  0.0000  0.0000 [2 per cell]
Al  0.0000  0.5000  0.2341 [2 per cell]
Si  0.0000  0.0000  0.5135 [2 per cell]
Si  0.0000  0.5000  0.7879 [2 per cell]

Below is a relaxed Tb2Pr2Nd2Y crystal, with properties calculated at the PBE level.

Summary:
Total magnetic moment (μB/f.u.): 0.0
V (Å³/cell): 478.7
D(E_F) (states/eV per cell): 19.5
Crystal system: monoclinic
Total DFT energy (no corrections) (eV for the cell shown): -69.437
Energy of formation from the pure elements (kJ/mol of formula units): 10

Unit cell a=11.4838 b=5.1526 c=8.1705 alpha=90.00 beta=98.08 gamma=90.00
Space group C2/m (No. 12)
Unique sites:
Tb  0.0712  0.0000  0.2130 [4 per cell]
Pr  0.2142  0.0000  0.6425 [4 per cell]
Nd  0.1421  0.5000  0.9277 [4 per cell]
Y  0.0000  0.5000  0.5000 [2 per cell]